No. 1
Material: Al2Zn2Au
Method: DFT, GGA-PBE
State: relaxed

Summary:
Space-group type ... P4/mbm
ΔH_f (0 K) ... -0.024 eV/atom

Structure (POSCAR):
```
Al2Zn2Au
1.0
6.649 0.000 0.000
0.000 6.649 0.000
0.000 0.000 3.999
Al Au Zn
4 2 4
Cartesian
2.367 5.692 0.000
0.957 2.367 0.000
4.282 0.957 0.000
5.692 4.282 0.000
3.325 3.325 0.000
0.000 0.000 0.000
4.327 5.647 1.999
5.647 2.322 1.999
1.002 4.327 1.999
2.322 1.002 1.999
```

No. 2
Material: MnPCS
Method: DFT, GGA-PBE
State: relaxed

Summary:
Space-group type ... P1

Structure (POSCAR):
```
MnPCS
1.0
3.745 -0.022 0.002
-1.842 3.282 -0.001
-0.046 -0.463 5.692
S Mn C P
1 1 1 1
Cartesian
2.377 0.456 3.051
2.409 0.927 5.570
2.427 1.095 1.596
0.527 -0.168 5.595
```

No. 3
Material: Ba3SrP2
Method: DFT, GGA-PBE
State: relaxed

Summary:
Space-group type ... C2/m
ΔH_f (0 K) ... -0.836 eV/atom

Structure (POSCAR):
```
Ba3SrP2
1.0
-1.095 3.601 -2.708
-10.469 0.479 0.901
0.494 9.265 8.150
P Sr Ba
4 2 6
Cartesian
-4.472 11.400 5.056
-6.598 1.946 1.286
-9.385 5.244 2.828
-1.686 8.102 3.515
-6.686 5.005 1.419
-4.384 8.341 4.924
-3.785 1.727 -0.143
-10.559 5.686 -0.080
-1.804 4.934 3.320
-9.267 8.412 3.022
-7.285 11.619 6.485
-0.511 7.660 6.422
```

No. 4
Material: NdErCl6
Method: DFT, GGA-PBE
State: relaxed

Summary:
Space-group type ... R-3

Structure (POSCAR):
```
NdErCl6
1.0
6.809 0.009 0.009
3.398 5.902 0.013
3.394 1.961 6.219
Cl Er Nd
6 1 1
Cartesian
5.648 5.753 1.604
5.808 2.030 1.600
8.952 4.032 1.607
4.649 3.840 4.633
7.792 5.842 4.640
7.952 2.119 4.636
6.800 3.936 3.120
0.000 0.000 0.000
```

No. 5
Material: NbZnNF2
Method: DFT, GGA-PBE
State: relaxed

Summary:
Space-group type ... P4/mmm

Structure (POSCAR):
```
NbZnNF2
1.0
-1.659 3.209 -0.142
-3.063 -1.533 1.158
1.384 0.933 4.897
Nb Zn F N
1 1 2 1
Cartesian
-1.669 1.305 2.956
0.000 0.000 0.000
-0.830 1.605 -0.071
-1.532 -0.766 0.579
0.692 0.466 2.448
```

No. 6
Material: Nd4Te2RuBr
Method: DFT, GGA-PBE
State: relaxed

Summary:
Space-group type ... P2/m

Structure (POSCAR):
```
Nd4Te2RuBr
1.0
4.255 0.000 0.000
0.000 7.753 -0.328
0.000 2.570 7.270
Nd Br Te Ru
4 1 2 1
Cartesian
0.000 7.510 5.012
2.128 6.265 1.851
4.255 2.813 1.930
2.128 4.057 5.091
2.128 6.446 7.106
2.128 1.285 3.635
0.000 2.570 7.270
0.000 5.161 3.471
```

No. 7
Material: SrAgSb2
Method: DFT, GGA-PBE
State: relaxed

Summary:
Space-group type ... Pmmm

Structure (POSCAR):
```
SrAgSb2
1.0
4.123 0.000 0.000
0.000 4.076 0.000
0.000 0.000 6.758
Sb Sr Ag
2 1 1
Cartesian
0.000 0.000 6.485
0.000 0.000 3.652
2.062 2.038 1.690
2.062 2.038 5.069
```

No. 8
Material: SrPt2Pb
Method: DFT, GGA-PBE
State: relaxed

Summary:
Space-group type ... R3m
ΔH_f (0 K) ... -0.496 eV/atom

Structure (POSCAR):
```
SrPt2Pb
1.0
4.557 -0.134 0.028
2.396 3.878 0.028
2.279 1.227 5.837
Sr Pt Pb
1 2 1
Cartesian
4.619 2.487 2.623
6.949 3.742 0.650
2.314 1.246 0.595
6.920 3.726 5.029
```

Number 1: calculated total energy -0.197 Ry per atom. Number 2: calculated total energy -0.480 Ry per atom. Number 3: calculated total energy -0.285 Ry per atom. Number 4: calculated total energy -0.352 Ry per atom. Number 5: calculated total energy -0.380 Ry per atom. Number 6: calculated total energy -0.410 Ry per atom. Number 7: calculated total energy -0.254 Ry per atom. Number 8: calculated total energy -0.358 Ry per atom.